An optimized crystal structure of CaMg2Ag, computed with PBE-GGA.

The space group is Pm (No. 6) and the conventional cell measures 3.5379, 4.6461 and 6.3384 Å, with angles of 90.00, 105.71 and 90.00 degrees. Symmetry generates all atoms from Ca at (0.0000, 0.0000, 0.0000), Mg at (0.2708, 0.0000, 0.5312), Mg at (0.6770, 0.5000, 0.3438) and Ag at (0.3961, 0.5000, 0.7865).

Its total magnetic moment is 0.00 μB per cell. The calculation puts the volume at 100 Å³/f.u. Its formation energy is -0.11 eV per atom.

An optimized crystal structure of Zr2Cr2Ge, computed with PBE-GGA.

The space group is P4/mbm (No. 127) and the conventional cell measures 6.4534, 6.4534 and 4.1139 Å, with angles of 90.00, 90.00 and 90.00 degrees. Symmetry generates all atoms from Zr at (0.1831, 0.3169, 0.0000), Cr at (0.1110, 0.6110, 0.5000) and Ge at (0.0000, 0.0000, 0.5000).

Its total magnetic moment is 0.00 μB per cell. The calculation puts the volume at 86 Å³/f.u. Its energy relative to the lowest polymorph listed for this composition is 0 meV per atom. Its formation energy is -0.07 eV per atom.

An optimized crystal structure of RbCd2Ag, computed with PBE-GGA.

The space group is Fm-3m (No. 225) and the conventional cell measures 7.8038, 7.8038 and 7.8038 Å, with angles of 90.00, 90.00 and 90.00 degrees. Symmetry generates all atoms from Rb at (0.0000, 0.0000, 0.0000), Cd at (0.2500, 0.2500, 0.2500) and Ag at (0.0000, 0.0000, 0.5000).

Its total magnetic moment is 0.00 μB per cell. The calculation puts the volume at 119 Å³/f.u. Its energy relative to the lowest polymorph listed for this composition is 217 meV per atom. Its formation energy is 0.16 eV per atom.